1.
Here is a relaxed TbHf2ScAs4 crystal from the Alexandria database. Energies are from GGA-PBE.

Computed properties:
Energy of formation from the pure elements in eV per atom: -1.2123
Magnetization in μB/f.u.: 0.0
Space group: P2/m, No. 10
Calculated volume in Å³ per cell: 170
Final energy in eV for the cell shown: -59.2
DOS(E_F) in states/eV/atom: 0.519

Cell lengths 3.900, 6.755, 6.833 Å; angles 109.35, 90.00, 90.00 degrees
Element x y z (fractional)
1 Tb 0.500 0.500 0.000
2 Hf 0.500 0.000 0.500
3 Hf 0.000 0.500 0.500
4 Sc 0.000 0.000 0.000
5 As 0.500 0.246 0.258
6 As 0.500 0.754 0.742
7 As 0.000 0.239 0.737
8 As 0.000 0.761 0.263


2.
Here is a relaxed SrCa2Rh crystal from the Alexandria database. Energies are from GGA-PBE.

Computed properties:
Energy of formation from the pure elements in eV per atom: -0.2800
Distance to the lowest polymorph of the same formula in meV per atom: 7
Magnetization in μB/f.u.: 0.0
Space group: Pnma, No. 62
Calculated volume in Å³ per cell: 504
Final energy in eV for the cell shown: -56.6
DOS(E_F) in states/eV/atom: 0.472

Cell lengths 6.537, 7.976, 9.668 Å; angles 90.00, 90.00, 90.00 degrees
Element x y z (fractional)
1 Sr 0.627 0.538 0.250
2 Sr 0.873 0.038 0.250
3 Sr 0.373 0.462 0.750
4 Sr 0.127 0.962 0.750
5 Ca 0.152 0.667 0.068
6 Ca 0.348 0.167 0.432
7 Ca 0.848 0.333 0.568
8 Ca 0.652 0.833 0.932
9 Ca 0.848 0.333 0.932
10 Ca 0.652 0.833 0.568
11 Ca 0.152 0.667 0.432
12 Ca 0.348 0.167 0.068
13 Rh 0.071 0.379 0.250
14 Rh 0.429 0.879 0.250
15 Rh 0.929 0.621 0.750
16 Rh 0.571 0.121 0.750


magnetization of number 1 (TbHf2ScAs4)?
0.0 μB/f.u.


Copy entry 2 word for word.
Here is a relaxed SrCa2Rh crystal from the Alexandria database. Energies are from GGA-PBE.

Computed properties:
Energy of formation from the pure elements in eV per atom: -0.2800
Distance to the lowest polymorph of the same formula in meV per atom: 7
Magnetization in μB/f.u.: 0.0
Space group: Pnma, No. 62
Calculated volume in Å³ per cell: 504
Final energy in eV for the cell shown: -56.6
DOS(E_F) in states/eV/atom: 0.472

Cell lengths 6.537, 7.976, 9.668 Å; angles 90.00, 90.00, 90.00 degrees
Element x y z (fractional)
1 Sr 0.627 0.538 0.250
2 Sr 0.873 0.038 0.250
3 Sr 0.373 0.462 0.750
4 Sr 0.127 0.962 0.750
5 Ca 0.152 0.667 0.068
6 Ca 0.348 0.167 0.432
7 Ca 0.848 0.333 0.568
8 Ca 0.652 0.833 0.932
9 Ca 0.848 0.333 0.932
10 Ca 0.652 0.833 0.568
11 Ca 0.152 0.667 0.432
12 Ca 0.348 0.167 0.068
13 Rh 0.071 0.379 0.250
14 Rh 0.429 0.879 0.250
15 Rh 0.929 0.621 0.750
16 Rh 0.571 0.121 0.750


Copy entry 2 word for word.
Here is a relaxed SrCa2Rh crystal from the Alexandria database. Energies are from GGA-PBE.

Computed properties:
Energy of formation from the pure elements in eV per atom: -0.2800
Distance to the lowest polymorph of the same formula in meV per atom: 7
Magnetization in μB/f.u.: 0.0
Space group: Pnma, No. 62
Calculated volume in Å³ per cell: 504
Final energy in eV for the cell shown: -56.6
DOS(E_F) in states/eV/atom: 0.472

Cell lengths 6.537, 7.976, 9.668 Å; angles 90.00, 90.00, 90.00 degrees
Element x y z (fractional)
1 Sr 0.627 0.538 0.250
2 Sr 0.873 0.038 0.250
3 Sr 0.373 0.462 0.750
4 Sr 0.127 0.962 0.750
5 Ca 0.152 0.667 0.068
6 Ca 0.348 0.167 0.432
7 Ca 0.848 0.333 0.568
8 Ca 0.652 0.833 0.932
9 Ca 0.848 0.333 0.932
10 Ca 0.652 0.833 0.568
11 Ca 0.152 0.667 0.432
12 Ca 0.348 0.167 0.068
13 Rh 0.071 0.379 0.250
14 Rh 0.429 0.879 0.250
15 Rh 0.929 0.621 0.750
16 Rh 0.571 0.121 0.750